Entry 1:
AlH2Br: optimized geometry, GGA-PBEsol.

Values from the calculation:
The total energy comes out at -9.630 eV per cell. The distance to the lowest polymorph of the same formula comes out at 3.26 eV/f.u. The total magnetization comes out at 0.00 μB/f.u.

Cell lengths 4.014, 4.014, 4.014 Å; angles 60.00, 60.00, 60.00 degrees
Fractional coordinates of all 4 atoms:
H 0.250 0.250 0.250
H 0.750 0.750 0.750
Al 0.000 0.000 0.000
Br 0.500 0.500 0.500

Entry 2:
ZnW3: optimized geometry, GGA-PBEsol.

Values from the calculation:
The total energy comes out at -29.341 eV per cell. The distance to the lowest polymorph of the same formula comes out at 12.16 eV/f.u. The total magnetization comes out at 0.00 μB/f.u. For the formation energy, the calculation gives 330 kJ/mol of atoms.

Cell lengths 4.536, 4.536, 4.536 Å; angles 90.00, 90.00, 90.00 degrees
Fractional coordinates of all 4 atoms:
Zn 0.000 0.000 0.000
W 0.500 0.000 0.000
W 0.000 0.500 0.000
W 0.000 0.000 0.500

Entry 3:
Zn2IrOs: optimized geometry, GGA-PBEsol.

Values from the calculation:
The total energy comes out at -24.429 eV per cell. The distance to the lowest polymorph of the same formula comes out at 0.56 eV/f.u. The total magnetization comes out at 0.00 μB/f.u. For the formation energy, the calculation gives 19 kJ/mol of atoms.

Cell lengths 3.849, 3.849, 4.588 Å; angles 114.80, 114.80, 90.00 degrees
Fractional coordinates of all 4 atoms:
Zn 0.000 0.000 0.000
Zn 0.750 0.250 0.500
Os 0.250 0.750 0.500
Ir 0.500 0.500 0.000

Entry 4:
CeNdAl4: optimized geometry, GGA-PBEsol.

Values from the calculation:
The total energy comes out at -30.807 eV per cell. The total magnetization comes out at 0.52 μB/f.u. For the formation energy, the calculation gives -43 kJ/mol of atoms.

Cell lengths 5.600, 5.600, 5.600 Å; angles 60.00, 60.00, 60.00 degrees
Site moments in Bohr magnetons follow the coordinates.
Fractional coordinates of all 6 atoms:
Al 0.376 0.376 0.873  0.00
Al 0.873 0.376 0.376  0.00
Al 0.376 0.873 0.376  0.00
Al 0.376 0.376 0.376  0.00
Nd 0.000 0.000 0.000  0.00
Ce 0.750 0.750 0.750  0.47